Entry 1:
Below is PaS2Br after structural relaxation, with properties calculated at the PBE level.

- Energy relative to the elements, uncorrected: -1.338 eV/atom
- Final energy: -24.8 eV for the cell shown
- E above lowest polymorph: 50 meV per atom

Cell: 5.2309 5.2309 7.8647 Å, 91.32 91.32 42.14°
With the nearest neighbours (Å) after each atom.
Element x y z (fractional)
Pa  0.0000  0.0000  0.0000  4 S 2.59-2.70
S  0.3028  0.3028  0.0197  3 Pa 2.70-2.96
S  0.5733  0.5733  0.7943  2 Pa 2.59
Br  0.5813  0.5813  0.2713  2 Pa 2.94

***

Entry 2:
Below is Li5PuPb4 after structural relaxation, with properties calculated at the PBE level.

- ΔE_f: -139 meV per atom
- Final energy: -40.1 eV for the cell shown

Cell: 3.5837 3.5837 17.7646 Å, 90.00 90.00 90.00°
With the nearest neighbours (Å) after each atom.
Element x y z (fractional)
Li  0.0000  0.0000  0.0000  8 Pb 3.07
Li  0.0000  0.0000  0.1954  8 Pb 3.07-3.13, 1 Li 3.25
Li  0.0000  0.0000  0.3785  4 Pb 2.90
Li  0.0000  0.0000  0.6215  4 Pb 2.90
Li  0.0000  0.0000  0.8046  8 Pb 3.07-3.13, 1 Li 3.25
Pu  0.5000  0.5000  0.5000  8 Li 3.33, 2 Pb 3.57, 4 Pu 3.58
Pb  0.5000  0.5000  0.0978  8 Li 3.07
Pb  0.5000  0.5000  0.2991  8 Li 2.90-3.13
Pb  0.5000  0.5000  0.7009  8 Li 2.90-3.13
Pb  0.5000  0.5000  0.9022  8 Li 3.07

***

Entry 3:
Below is Nb2Fe2Co5Si after structural relaxation, with properties calculated at the PBE level.

- Energy relative to the elements, uncorrected: -0.070 eV/atom
- Final energy: -157.4 eV for the cell shown

Cell: 8.2859 8.2859 3.6181 Å, 90.00 90.00 90.00°
With the nearest neighbours (Å) after each atom.
Element x y z (fractional)
Nb  0.1709  0.3291  0.0000  3 Fe 2.37-2.50
Nb  0.3291  0.8291  0.0000  3 Fe 2.37-2.50
Nb  0.6709  0.1709  0.0000  3 Fe 2.37-2.50
Nb  0.8291  0.6709  0.0000  3 Fe 2.37-2.50
Fe  0.1271  0.6271  0.0000  6 Co 2.34-2.35, 3 Nb 2.37-2.50
Fe  0.3729  0.1271  0.0000  6 Co 2.34-2.35, 3 Nb 2.37-2.50
Fe  0.6271  0.8729  0.0000  6 Co 2.34-2.35, 3 Nb 2.37-2.50
Fe  0.8729  0.3729  0.0000  6 Co 2.34-2.35, 3 Nb 2.37-2.50
Co  0.0000  0.5000  0.5000  4 Fe 2.34, 4 Co 2.53
Co  0.0665  0.7984  0.5000  2 Fe 2.35, 3 Co 2.49-2.53, 2 Si 2.52
Co  0.2016  0.0665  0.5000  2 Fe 2.35, 3 Co 2.49-2.53, 2 Si 2.52
Co  0.2984  0.5665  0.5000  2 Fe 2.35, 3 Co 2.49-2.53, 2 Si 2.52
Co  0.4335  0.2984  0.5000  2 Fe 2.35, 3 Co 2.49-2.53, 2 Si 2.52
Co  0.5000  0.0000  0.5000  4 Fe 2.34, 4 Co 2.53
Co  0.5665  0.7016  0.5000  2 Fe 2.35, 3 Co 2.49-2.53, 2 Si 2.52
Co  0.7016  0.4335  0.5000  2 Fe 2.35, 3 Co 2.49-2.53, 2 Si 2.52
Co  0.7984  0.9335  0.5000  2 Fe 2.35, 3 Co 2.49-2.53, 2 Si 2.52
Co  0.9335  0.2016  0.5000  2 Fe 2.35, 3 Co 2.49-2.53, 2 Si 2.52
Si  0.0000  0.0000  0.0000  8 Co 2.52
Si  0.5000  0.5000  0.0000  8 Co 2.52

***

Entry 4:
Below is AgP3 after structural relaxation, with properties calculated at the PBE level.

- ΔE_f: 738 meV per atom
- Final energy: -16.1 eV for the cell shown
- E above lowest polymorph: 555 meV per atom

Cell: 4.4802 4.4802 4.4802 Å, 60.00 60.00 60.00°
With the nearest neighbours (Å) after each atom.
Element x y z (fractional)
Ag  0.0000  0.0000  0.0000  8 P 2.74
P  0.2500  0.2500  0.2500  4 P 2.74, 4 Ag 2.74
P  0.5000  0.5000  0.5000  8 P 2.74
P  0.7500  0.7500  0.7500  4 Ag 2.74, 4 P 2.74

***

Entry 5:
Below is PmGaAg2O4 after structural relaxation, with properties calculated at the PBE level.

- Energy relative to the elements, uncorrected: -1.498 eV/atom
- Final energy: -45.3 eV for the cell shown

Cell: 5.3961 5.3961 5.3961 Å, 111.20 110.51 106.74°
With the nearest neighbours (Å) after each atom.
Element x y z (fractional)
Pm  0.0000  0.0000  0.0000  4 O 2.33
Ga  0.5000  0.0000  0.5000  4 O 1.89
Ag  0.2651  0.5000  0.7651  2 O 2.23
Ag  0.7349  0.5000  0.2349  2 O 2.23
O  0.1491  0.0229  0.4729  1 Ga 1.89
O  0.4500  0.9771  0.1263  1 Ga 1.89
O  0.5500  0.6763  0.5271  1 Ga 1.89
O  0.8509  0.3237  0.8737  1 Ga 1.89

***

Entry 6:
Below is KPm2ReO8 after structural relaxation, with properties calculated at the PBE level.

- Energy relative to the elements, uncorrected: -2.243 eV/atom
- Final energy: -89.6 eV for the cell shown

Cell: 5.4096 5.4885 7.2557 Å, 83.38 74.27 74.62°
With the nearest neighbours (Å) after each atom.
Element x y z (fractional)
K  0.0000  0.0000  0.0000  6 O 2.67-2.95
Pm  0.3415  0.4393  0.3148  7 O 2.31-2.53
Pm  0.6585  0.5607  0.6852  7 O 2.31-2.53
Re  0.0000  0.0000  0.5000  6 O 1.88-1.92
O  0.0782  0.2560  0.6159  1 Re 1.91
O  0.2218  0.0832  0.2665  1 Re 1.88
O  0.2966  0.7452  0.5531  1 Re 1.92
O  0.3615  0.5547  0.9878  1 O 1.51
O  0.6385  0.4453  0.0122  1 O 1.51
O  0.7034  0.2548  0.4469  1 Re 1.92
O  0.7782  0.9168  0.7335  1 Re 1.88
O  0.9218  0.7440  0.3841  1 Re 1.91

***

Entry 7:
Below is Tb3SbAs2Rh9 after structural relaxation, with properties calculated at the PBE level.

- Energy relative to the elements, uncorrected: -0.463 eV/atom
- Final energy: -100.4 eV for the cell shown

Cell: 6.2676 6.2676 9.2520 Å, 90.00 90.00 120.00°
With the nearest neighbours (Å) after each atom.
Element x y z (fractional)
Tb  0.0000  0.0000  0.0000  12 Rh 2.95-3.13
Tb  0.3333  0.6667  0.7430  9 Rh 2.99-3.15
Tb  0.6667  0.3333  0.2570  9 Rh 2.99-3.15
Sb  0.0000  0.0000  0.5000  6 Rh 2.62
As  0.3333  0.6667  0.1703  6 Rh 2.28-2.40
As  0.6667  0.3333  0.8297  6 Rh 2.28-2.40
Rh  0.0000  0.5000  0.0000  2 As 2.40
Rh  0.1422  0.2845  0.2715  1 As 2.28
Rh  0.1422  0.8578  0.2715  1 As 2.28
Rh  0.2845  0.1422  0.7285  1 As 2.28
Rh  0.5000  0.0000  0.0000  2 As 2.40
Rh  0.5000  0.5000  0.0000  2 As 2.40
Rh  0.7155  0.8578  0.2715  1 As 2.28
Rh  0.8578  0.1422  0.7285  1 As 2.28
Rh  0.8578  0.7155  0.7285  1 As 2.28

***

Entry 8:
Below is Cu2ReAg after structural relaxation, with properties calculated at the PBE level.

- ΔE_f: 580 meV per atom
- Final energy: -21.2 eV for the cell shown
- E above lowest polymorph: 318 meV per atom

Cell: 2.6253 4.6153 4.8459 Å, 90.00 90.00 90.00°
With the nearest neighbours (Å) after each atom.
Element x y z (fractional)
Cu  0.0000  0.0000  0.0000  6 Cu 2.63-2.76, 4 Ag 2.65
Cu  0.5000  0.0000  0.5000  6 Cu 2.63-2.76, 4 Re 2.65
Re  0.0000  0.5000  0.5000  2 Re 2.63, 4 Cu 2.65, 4 Ag 2.76
Ag  0.5000  0.5000  0.0000  2 Ag 2.63, 4 Cu 2.65, 4 Re 2.76